Record 1
! LiLa3Ge GGA-PBE optimized geometry; values from VASP
&SYSTEM
  ibrav = 0, nat = 10, ntyp = 3
/
ATOMIC_SPECIES
Li 6.94 Li.upf
La 138.91 La.upf
Ge 72.64 Ge.upf
CELL_PARAMETERS angstrom
4.197 0.000 0.000
2.094 7.151 0.000
0.016 0.354 10.085
ATOMIC_POSITIONS crystal
Li 0.187 0.129 0.436
Li 0.813 0.871 0.564
La 0.052 0.397 0.151
La 0.244 0.012 0.831
La 0.426 0.643 0.370
La 0.574 0.357 0.630
La 0.756 0.988 0.169
La 0.948 0.603 0.849
Ge 0.393 0.714 0.071
Ge 0.607 0.286 0.929
! energy of formation: -287.2 meV/atom
! ΔE to the lowest computed polymorph: 0.0 kJ/mol of atoms



Record 2
! LiLa4Ge2 GGA-PBE optimized geometry; values from VASP
&SYSTEM
  ibrav = 0, nat = 7, ntyp = 3
/
ATOMIC_SPECIES
Li 6.94 Li.upf
La 138.91 La.upf
Ge 72.64 Ge.upf
CELL_PARAMETERS angstrom
4.130 -5.014 0.000
4.130 5.014 0.000
0.000 0.000 4.881
ATOMIC_POSITIONS crystal
Li 0.000 0.000 0.000
La 0.000 0.500 0.000
La 0.271 0.271 0.500
La 0.500 0.000 0.000
La 0.729 0.729 0.500
Ge 0.224 0.776 0.500
Ge 0.776 0.224 0.500
! energy of formation: -447.2 meV/atom



Record 3
! Li4La3Ge4 GGA-PBE optimized geometry; values from VASP
&SYSTEM
  ibrav = 0, nat = 11, ntyp = 3
/
ATOMIC_SPECIES
Li 6.94 Li.upf
La 138.91 La.upf
Ge 72.64 Ge.upf
CELL_PARAMETERS angstrom
-2.264 3.487 7.513
2.264 -3.487 7.513
2.264 3.487 -7.513
ATOMIC_POSITIONS crystal
Li 0.019 0.829 0.189
Li 0.360 0.171 0.189
Li 0.640 0.829 0.811
Li 0.981 0.171 0.811
La 0.000 0.500 0.500
La 0.368 0.368 0.000
La 0.632 0.632 0.000
Ge 0.214 0.714 0.500
Ge 0.317 0.000 0.317
Ge 0.683 0.000 0.683
Ge 0.786 0.286 0.500
! energy of formation: -679.5 meV/atom



Record 4
! Li2La2Ge3 GGA-PBE optimized geometry; values from VASP
&SYSTEM
  ibrav = 0, nat = 14, ntyp = 3
/
ATOMIC_SPECIES
Li 6.94 Li.upf
La 138.91 La.upf
Ge 72.64 Ge.upf
CELL_PARAMETERS angstrom
2.275 -9.530 0.000
2.275 9.530 0.000
0.000 0.000 7.049
ATOMIC_POSITIONS crystal
Li 0.190 0.810 0.562
Li 0.190 0.810 0.938
Li 0.810 0.190 0.062
Li 0.810 0.190 0.438
La 0.341 0.659 0.750
La 0.448 0.552 0.250
La 0.552 0.448 0.750
La 0.659 0.341 0.250
Ge 0.061 0.939 0.069
Ge 0.061 0.939 0.431
Ge 0.280 0.720 0.250
Ge 0.720 0.280 0.750
Ge 0.939 0.061 0.569
Ge 0.939 0.061 0.931
! energy of formation: -731.8 meV/atom